Record 1
MgCdWI2 (PBE, relaxed); density of states at the Fermi level = 4.258 states/eV/cell; total magnetization = 0.53 μB/cell; total energy = -2.939 eV/atom; formation energy from raw total energies = 774 meV per atom
1.0
5.370 0.000 0.000
0.000 5.370 0.000
0.000 0.000 5.708
Mg Cd W I
1 1 1 2
Direct
0.000 0.000 0.000
0.500 0.500 0.000
0.500 0.500 0.500
0.000 0.500 0.500
0.500 0.000 0.500



Record 2
La2SbRhAu (PBE, relaxed); density of states at the Fermi level = 3.965 states/eV/cell; total magnetization = 0.00 μB/cell; total energy = -4.973 eV/atom; formation energy from raw total energies = -52 meV per atom
1.0
5.981 0.000 0.000
0.000 5.981 0.000
0.000 0.000 4.793
La Sb Rh Au
2 1 1 1
Direct
0.000 0.500 0.000
0.500 0.000 0.000
0.000 0.000 0.000
0.000 0.000 0.500
0.500 0.500 0.500



Record 3
HfTaMoOs (PBE, relaxed); density of states at the Fermi level = 2.449 states/eV/cell; energy relative to the elements = -0.404 eV per atom; total magnetization = 0.00 μB/cell; total energy = -11.370 eV/atom; ΔE to the lowest computed polymorph = 0.00 eV/f.u.
1.0
0.000 3.236 3.236
3.236 0.000 3.236
3.236 3.236 0.000
Hf Ta Mo Os
1 1 1 1
Direct
0.000 0.000 0.000
0.500 0.500 0.500
0.250 0.250 0.250
0.750 0.750 0.750



Record 4
Tb2AgSb (PBE, relaxed); density of states at the Fermi level = 3.648 states/eV/cell; total magnetization = 0.00 μB/cell; total energy = -4.667 eV/atom; formation energy from raw total energies = -608 meV per atom
1.0
5.071 0.000 0.000
0.000 5.071 0.000
0.000 0.000 3.983
Tb Ag Sb
2 1 1
Direct
0.000 0.500 0.000
0.500 0.000 0.000
0.000 0.000 0.500
0.500 0.500 0.500